Material: CaVIO2
Method: DFT, GGA+U
State: optimized geometry

Computed properties:
SG: P4/mmm, No. 123
E_tot, eV/atom: -4.621
E above lowest polymorph, eV/atom: 1.572

Cell: 4.3647 4.3647 6.0987 Å, 90.00 90.00 90.00°
With the nearest neighbours (Å) after each atom.
Element x y z (fractional)
Ca1 0.0000 0.0000 0.0000  4 O 2.18
V1 0.5000 0.5000 0.5000  4 I 3.09
I1 0.0000 0.0000 0.5000  2 Ca 3.05, 4 V 3.09
O1 0.0000 0.5000 0.0000  2 Ca 2.18
O2 0.5000 0.0000 0.0000  2 Ca 2.18

***

Material: CaVIO2
Method: DFT, GGA+U
State: optimized geometry

Computed properties:
SG: P2_1/m, No. 11
E_tot, eV/atom: -6.193
E above lowest polymorph, eV/atom: 0.000

Cell: 7.3634 4.1871 7.4832 Å, 90.00 116.16 90.00°
With the nearest neighbours (Å) after each atom.
Element x y z (fractional)
Ca1 0.1435 0.2500 0.4326  4 O 2.30-2.46
Ca2 0.8565 0.7500 0.5674  4 O 2.30-2.46
V1 0.1074 0.2500 0.9339  4 O 1.91-2.12
V2 0.8926 0.7500 0.0661  4 O 1.91-2.12
I1 0.4946 0.2500 0.2483  1 V 2.78
I2 0.5054 0.7500 0.7517  1 V 2.78
O1 0.0022 0.7500 0.3494  1 V 1.91
O2 0.0594 0.7500 0.9305  3 V 1.91-2.12
O3 0.9406 0.2500 0.0695  3 V 1.91-2.12
O4 0.9978 0.2500 0.6506  1 V 1.91